Computed, not measured: a relaxed structure of TlZn2AgBr6 at the PBE level of DFT.

Properties
Total energy, eV per atom: -2.53
Raw formation energy, eV per formula unit: -7.5
Density, g/cm3: 4.38
SG: C2/c (15)

Structure (POSCAR):
```
TlZn2AgBr6
1.0
-2.006 -6.563 -0.648
2.588 -1.360 -9.766
8.508 -4.469 3.400
Tl Zn Ag Br
2 4 2 12
direct
0.250 0.893 0.107
0.750 0.107 0.893
0.263 0.776 0.624
0.237 0.376 0.224
0.737 0.224 0.376
0.763 0.624 0.776
0.250 0.329 0.671
0.750 0.671 0.329
0.210 0.957 0.789
0.290 0.211 0.043
0.790 0.043 0.211
0.710 0.789 0.957
0.422 0.832 0.409
0.078 0.591 0.168
0.578 0.168 0.591
0.922 0.409 0.832
0.946 0.703 0.575
0.554 0.425 0.297
0.054 0.297 0.425
0.446 0.575 0.703
```

=====

Computed, not measured: a relaxed structure of BaPuCuO6 at the PBE level of DFT.

Properties
Total energy, eV per atom: -7.49
Raw formation energy, eV per formula unit: -17.3
Density, g/cm3: 6.18
SG: P-31c (163)

Structure (POSCAR):
```
BaPuCuO6
1.0
-0.477 2.669 4.567
-4.130 -0.337 -3.323
-3.566 -9.951 5.443
Ba Pu Cu O
2 2 2 12
direct
0.000 0.000 0.000
0.000 0.000 0.500
0.667 0.333 0.250
0.333 0.667 0.750
0.333 0.667 0.250
0.667 0.333 0.750
0.627 0.622 0.153
0.996 0.373 0.153
0.373 0.996 0.653
0.004 0.627 0.847
0.378 0.373 0.347
0.996 0.622 0.347
0.622 0.996 0.847
0.627 0.004 0.347
0.004 0.378 0.653
0.378 0.004 0.153
0.622 0.627 0.653
0.373 0.378 0.847
```

=====

Computed, not measured: a relaxed structure of TbNd12Er7 at the PBE level of DFT.

Properties
E above lowest polymorph, kcal/mol of atoms: 2.04
Total energy, eV per atom: -4.45
Density, g/cm3: 7.34
SG: R-3m (166)

Structure (POSCAR):
```
TbNd12Er7
1.0
-3.919 4.696 1.106
-4.905 -8.319 6.300
9.816 4.495 4.049
Tb Nd Er
1 12 7
direct
0.000 0.000 0.000
0.088 0.587 0.175
0.087 0.175 0.588
0.585 0.647 0.000
0.416 0.000 0.353
0.500 0.412 0.587
0.062 0.647 0.647
0.938 0.353 0.353
0.500 0.588 0.413
0.584 0.000 0.647
0.415 0.353 0.000
0.913 0.825 0.412
0.912 0.413 0.825
0.126 0.756 0.000
0.874 0.000 0.244
0.630 0.756 0.756
0.500 0.000 0.000
0.370 0.244 0.244
0.126 0.000 0.756
0.874 0.244 0.000
```

=====

Computed, not measured: a relaxed structure of GdScS3 at the PBE level of DFT.

Properties
Total energy, eV per atom: -8.56
Raw formation energy, eV per formula unit: -10.0
Density, g/cm3: 4.57
SG: Pnma (62)

Structure (POSCAR):
```
GdScS3
1.0
-5.779 -2.558 -1.178
2.395 -2.589 -6.129
2.651 -8.028 4.427
Gd Sc S
4 4 12
direct
0.040 0.100 0.250
0.960 0.900 0.750
0.460 0.600 0.250
0.540 0.400 0.750
0.500 0.000 0.500
0.000 0.500 0.000
0.000 0.500 0.500
0.500 0.000 0.000
0.323 0.315 0.431
0.677 0.685 0.931
0.323 0.315 0.069
0.823 0.185 0.569
0.177 0.815 0.431
0.140 0.545 0.750
0.860 0.455 0.250
0.640 0.955 0.250
0.823 0.185 0.931
0.360 0.045 0.750
0.677 0.685 0.569
0.177 0.815 0.069
```

=====

no.,spin magnetization (μB per cell)
1,0.0
2,2.0
3,0.0
4,28.0